Version i
A relaxed structure of AsSe2Br, computed with GGA-PBE.

Calculated values
space group	No. 123
calculated density	5.5	g cm⁻³
magnetization	0.0000	μB/atom

Structure (POSCAR):
```
AsSe2Br
1.0
-0.2607 1.8757 -3.0808
-3.3614 -1.2464 -0.4744
-2.5887 5.6005 3.6288
As Se Br
1 2 1
direct
0.5000 0.5000 0.2500 As
0.0000 0.0000 0.0707 Se
0.0000 0.0000 0.4293 Se
0.5000 0.5000 0.7500 Br
```

Version ii
A relaxed structure of AsSe2Br, computed with GGA-PBE.

Calculated values
space group	No. 122
calculated density	4.8	g cm⁻³
magnetization	0.0000	μB/atom

Structure (POSCAR):
```
AsSe2Br
1.0
7.3262 0.0000 0.0000
0.0000 7.3262 0.0000
3.6631 3.6631 4.0506
As Se Br
2 4 2
direct
0.5000 0.5000 0.0000 As
0.2500 0.7500 0.5000 As
0.5655 0.1250 0.2500 Se
0.1845 0.6250 0.2500 Se
0.3750 0.4345 0.7500 Se
0.8750 0.8155 0.7500 Se
0.0000 0.0000 0.0000 Br
0.7500 0.2500 0.5000 Br
```

Relative energy of each structure, in meV/atom: version i 124; version ii 0.